No. 1
DFT (PBE) results for a relaxed Pr8Nd3Er3 crystal.

Values from the calculation:
Crystal system: orthorhombic
Calculated volume: 491.81 Å³/f.u.
Symmetry: Immm, No. 71
Energy of formation: 98 meV/atom

```
Pr8Nd3Er3
1.0
-2.8952 5.4951 7.7283
2.8952 -5.4951 7.7283
2.8952 5.4951 -7.7283
Pr Nd Er
8 3 3
direct
0.0601 0.3968 0.6633
0.0628 0.2218 0.8410
0.2665 0.6032 0.6633
0.3808 0.2218 0.1590
0.6192 0.7782 0.8410
0.7335 0.3968 0.3367
0.9372 0.7782 0.1590
0.9399 0.6032 0.3367
0.3207 0.8207 0.5000
0.5000 0.5000 0.0000
0.6793 0.1793 0.5000
0.0000 0.0000 0.0000
0.3004 0.0000 0.3004
0.6996 0.0000 0.6996
```

---

No. 2
DFT (PBE) results for a relaxed Ba2LaAgIr crystal.

Values from the calculation:
Crystal system: tetragonal
Calculated volume: 209.66 Å³/f.u.
Symmetry: P4/mmm, No. 123
Energy of formation: -132 meV/atom

```
Ba2LaAgIr
1.0
6.2208 0.0000 0.0000
0.0000 6.2208 0.0000
0.0000 0.0000 5.4179
Ba La Ag Ir
2 1 1 1
direct
0.0000 0.5000 0.0000
0.5000 0.0000 0.0000
0.0000 0.0000 0.5000
0.5000 0.5000 0.5000
0.0000 0.0000 0.0000
```

---

No. 3
DFT (PBE) results for a relaxed InNi2Os crystal.

Values from the calculation:
Crystal system: tetragonal
Calculated volume: 56.10 Å³/f.u.
Symmetry: P4/mmm, No. 123
Energy of formation: 282 meV/atom

```
InNi2Os
1.0
3.9850 0.0000 0.0000
0.0000 3.9850 0.0000
0.0000 0.0000 3.5329
In Ni Os
1 2 1
direct
0.0000 0.0000 0.0000
0.0000 0.5000 0.5000
0.5000 0.0000 0.5000
0.5000 0.5000 0.0000
```

---

No. 4
DFT (PBE) results for a relaxed Rh crystal.

Values from the calculation:
Crystal system: hexagonal
Calculated volume: 23.43 Å³/f.u.
Symmetry: P6_3/mmc, No. 194
Energy of formation: 813 meV/atom
ΔE to the lowest computed polymorph: 813 meV per atom

```
Rh
1.0
11.1751 0.0000 0.0000
-5.5876 9.6779 0.0000
0.0000 0.0000 2.5996
Rh
12
direct
0.1157 0.4504 0.2500
0.1157 0.6653 0.2500
0.3347 0.4504 0.2500
0.3347 0.8843 0.2500
0.4504 0.1157 0.7500
0.4504 0.3347 0.7500
0.5496 0.6653 0.2500
0.5496 0.8843 0.2500
0.6653 0.1157 0.7500
0.6653 0.5496 0.7500
0.8843 0.3347 0.7500
0.8843 0.5496 0.7500
```

---

No. 5
DFT (PBE) results for a relaxed Zr2ZnCl crystal.

Values from the calculation:
ΔE_f (raw): -6 meV per atom
Crystal system: tetragonal
Calculated volume: 79.28 Å³/f.u.
Symmetry: I-4m2, No. 119
ΔE to the lowest computed polymorph: 473 meV per atom

```
Zr2ZnCl
1.0
-1.9812 1.9812 5.0495
1.9812 -1.9812 5.0495
1.9812 1.9812 -5.0495
Zr Zn Cl
2 1 1
direct
0.0000 0.0000 0.0000
0.7500 0.2500 0.5000
0.5000 0.5000 0.0000
0.2500 0.7500 0.5000
```

---

No. 6
DFT (PBE) results for a relaxed Mn4AsAu crystal.

Values from the calculation:
Crystal system: cubic
Calculated volume: 84.23 Å³/f.u.
Symmetry: F-43m, No. 216
Energy of formation: 403 meV/atom

```
Mn4AsAu
1.0
0.0000 3.4792 3.4792
3.4792 0.0000 3.4792
3.4792 3.4792 0.0000
Mn As Au
4 1 1
direct
0.1245 0.1245 0.1245
0.1245 0.1245 0.6264
0.1245 0.6264 0.1245
0.6264 0.1245 0.1245
0.7500 0.7500 0.7500
0.5000 0.5000 0.5000
```

---

No. 7
DFT (PBE) results for a relaxed Y3ZrTl crystal.

Values from the calculation:
Crystal system: cubic
Calculated volume: 182.69 Å³/f.u.
Symmetry: Pm-3m, No. 221
Energy of formation: 693 meV/atom
ΔE to the lowest computed polymorph: 107 meV per atom

```
Y3ZrTl
1.0
5.6742 0.0000 0.0000
0.0000 5.6742 0.0000
0.0000 0.0000 5.6742
Y Zr Tl
3 1 1
direct
0.0000 0.0000 0.5000
0.0000 0.5000 0.0000
0.5000 0.0000 0.0000
0.5000 0.5000 0.5000
0.0000 0.0000 0.0000
```

---

No. 8
DFT (PBE) results for a relaxed PmHfCrN3 crystal.

Values from the calculation:
ΔE_f (raw): -1160 meV per atom
Crystal system: monoclinic
Calculated volume: 81.63 Å³/f.u.
Symmetry: P2_1/m, No. 11

```
PmHfCrN3
1.0
7.1776 0.0000 0.0000
0.0000 3.2482 0.0000
-1.6721 0.0000 7.0023
Pm Hf Cr N
2 2 2 6
direct
0.2109 0.2500 0.1960
0.7891 0.7500 0.8040
0.1569 0.2500 0.6488
0.8431 0.7500 0.3512
0.4030 0.7500 0.9202
0.5970 0.2500 0.0798
0.1390 0.7500 0.8682
0.1523 0.7500 0.4416
0.4994 0.2500 0.8055
0.5006 0.7500 0.1945
0.8477 0.2500 0.5584
0.8610 0.2500 0.1318
```

---

No. 9
DFT (PBE) results for a relaxed MgBiCl5 crystal.

Values from the calculation:
ΔE_f (raw): -1300 meV per atom
Crystal system: monoclinic
Calculated volume: 233.38 Å³/f.u.
Symmetry: C2/c, No. 15

```
MgBiCl5
1.0
5.2341 -5.0029 0.0000
5.2341 5.0029 0.0000
-5.0859 0.0000 8.9125
Mg Bi Cl
2 2 10
direct
0.1375 0.8625 0.7500
0.8625 0.1375 0.2500
0.0000 0.5000 0.0000
0.5000 0.0000 0.5000
0.1557 0.1840 0.4623
0.1730 0.5882 0.8297
0.1840 0.1557 0.9623
0.3351 0.6649 0.2500
0.4118 0.8270 0.6703
0.5882 0.1730 0.3297
0.6649 0.3351 0.7500
0.8160 0.8443 0.0377
0.8270 0.4118 0.1703
0.8443 0.8160 0.5377
```

---

No. 10
DFT (PBE) results for a relaxed PaH6RuRh crystal.

Values from the calculation:
Total energy: -5.313 eV per atom
Crystal system: hexagonal
Calculated volume: 76.76 Å³/f.u.
Symmetry: P-6m2, No. 187

```
PaH6RuRh
1.0
4.5788 0.0000 0.0000
-2.2894 3.9654 0.0000
0.0000 0.0000 4.2272
Pa H Ru Rh
1 6 1 1
direct
0.0000 0.0000 0.0000
0.5042 0.0084 0.2116
0.5042 0.0084 0.7884
0.5042 0.4958 0.2116
0.5042 0.4958 0.7884
0.9916 0.4958 0.2116
0.9916 0.4958 0.7884
0.6667 0.3333 0.5000
0.3333 0.6667 0.5000
```

---

No. 11
DFT (PBE) results for a relaxed PmAlZn2Ni crystal.

Values from the calculation:
Crystal system: orthorhombic
Calculated volume: 90.56 Å³/f.u.
Symmetry: Imm2, No. 44
Energy of formation: -398 meV/atom

```
PmAlZn2Ni
1.0
-1.9947 2.0799 5.4570
1.9947 -2.0799 5.4570
1.9947 2.0799 -5.4570
Pm Al Zn Ni
1 1 2 1
direct
0.0000 0.0000 0.0000
0.2606 0.7606 0.5000
0.6098 0.6098 0.0000
0.7627 0.2627 0.5000
0.3875 0.3875 0.0000
```

---

No. 12
DFT (PBE) results for a relaxed Na3BiC crystal.

Values from the calculation:
Crystal system: cubic
Calculated volume: 216.64 Å³/f.u.
Symmetry: Pm-3m, No. 221
Energy of formation: 1210 meV/atom
ΔE to the lowest computed polymorph: 448 meV per atom

```
Na3BiC
1.0
6.0059 0.0000 0.0000
0.0000 6.0059 0.0000
0.0000 0.0000 6.0059
Na Bi C
3 1 1
direct
0.0000 0.0000 0.5000
0.0000 0.5000 0.0000
0.5000 0.0000 0.0000
0.0000 0.0000 0.0000
0.5000 0.5000 0.5000
```